No. 1
Density functional theory data (GGA-PBE) for Ba2CdPdAu after structural relaxation.

Cell: 6.3677 6.3677 5.0596 Å, 90.00 90.00 90.00°
Last column: nearest neighbours and their distance in Å.
Space group P4/mmm (No. 123)
Symmetry-distinct sites (fractional):
1 Ba 0.0000 0.5000 0.0000 (multiplicity 2)  2 Cd 3.18
2 Cd 0.0000 0.0000 0.0000 (multiplicity 1)  2 Au 2.53
3 Pd 0.5000 0.5000 0.5000 (multiplicity 1)  8 Ba 4.07, 4 Au 4.50
4 Au 0.0000 0.0000 0.5000 (multiplicity 1)  2 Cd 2.53

As for the relative energy among the computed polymorphs: 463 meV/atom. For the formation energy, the calculation gives 0.10 eV per atom. The density of states at the Fermi level comes out at 3.358 states/eV/f.u.

=====

No. 2
Density functional theory data (GGA-PBE) for K2Na5Sn2 after structural relaxation.

Cell: 6.1910 6.9622 8.6468 Å, 76.40 89.19 65.92°
Last column: nearest neighbours and their distance in Å.
Space group P-1 (No. 2)
Symmetry-distinct sites (fractional):
1 K 0.2298 0.0979 0.3742 (multiplicity 2)  1 K 3.59, 3 Na 3.60-3.78, 3 Sn 3.64-3.70
2 Na 0.0000 0.5000 0.0000 (multiplicity 1)  2 Sn 3.18
3 Na 0.2917 0.8625 0.9600 (multiplicity 2)  2 Sn 3.23-3.38, 3 Na 3.48-3.61
4 Na 0.3670 0.4646 0.6633 (multiplicity 2)  3 Sn 3.20-3.46, 1 Na 3.29
5 Sn 0.0551 0.6910 0.2895 (multiplicity 2)  6 Na 3.18-3.46

As for the relative energy among the computed polymorphs: 9 meV/atom. For the formation energy, the calculation gives -0.09 eV per atom. The density of states at the Fermi level comes out at 1.602 states/eV/f.u.

=====

No. 3
Density functional theory data (GGA-PBE) for Tm8BiRh2 after structural relaxation.

Cell: 8.5715 13.0552 5.5077 Å, 90.00 103.79 90.00°
Last column: nearest neighbours and their distance in Å.
Space group C2/m (No. 12)
Symmetry-distinct sites (fractional):
1 Tm 0.0000 0.2493 0.0000 (multiplicity 4)  2 Rh 2.85
2 Tm 0.1031 0.5000 0.7962 (multiplicity 4)  2 Rh 3.03, 2 Tm 3.17-3.32, 1 Bi 3.32
3 Tm 0.2059 0.1298 0.5852 (multiplicity 8)  2 Rh 2.80-2.87
4 Bi 0.0000 0.0000 0.0000 (multiplicity 2)  8 Tm 3.25-3.62
5 Rh 0.0000 0.3058 0.5000 (multiplicity 4)  8 Tm 2.80-3.03

For the formation energy, the calculation gives -0.46 eV per atom. The density of states at the Fermi level comes out at 12.835 states/eV/f.u.

=====

No. 4
Density functional theory data (GGA-PBE) for LaSm2Tm9 after structural relaxation.

Cell: 11.1768 11.1768 3.5116 Å, 90.00 90.00 120.00°
Last column: nearest neighbours and their distance in Å.
Space group P6/mmm (No. 191)
Symmetry-distinct sites (fractional):
1 La 0.0000 0.0000 0.0000 (multiplicity 1)  2 La 3.51, 12 Tm 3.87
2 Sm 0.3333 0.6667 0.0000 (multiplicity 2)  9 Tm 3.23-3.48, 2 Sm 3.51
3 Tm 0.0000 0.5000 0.0000 (multiplicity 3)  2 Sm 3.23, 10 Tm 3.51-3.58
4 Tm 0.1782 0.3564 0.5000 (multiplicity 6)  8 Tm 3.45-3.58, 2 Sm 3.48

As for the relative energy among the computed polymorphs: 20 meV/atom. For the formation energy, the calculation gives 0.05 eV per atom. The density of states at the Fermi level comes out at 18.212 states/eV/f.u.

=====

No. 5
Density functional theory data (GGA-PBE) for Ba2LiTaAs after structural relaxation.

Cell: 6.1283 6.1283 5.0265 Å, 90.00 90.00 90.00°
Last column: nearest neighbours and their distance in Å.
Space group P4/mmm (No. 123)
Symmetry-distinct sites (fractional):
1 Ba 0.0000 0.5000 0.0000 (multiplicity 2)  2 Ta 3.06
2 Li 0.0000 0.0000 0.5000 (multiplicity 1)  2 Ta 2.51
3 Ta 0.0000 0.0000 0.0000 (multiplicity 1)  2 Li 2.51
4 As 0.5000 0.5000 0.5000 (multiplicity 1)  8 Ba 3.96, 4 Li 4.33

For the formation energy, the calculation gives 0.94 eV per atom. The density of states at the Fermi level comes out at 3.337 states/eV/f.u.

=====

No. 6
Density functional theory data (GGA-PBE) for Cu2P2Pd7 after structural relaxation.

Cell: 7.3386 8.6118 5.5447 Å, 90.00 90.00 90.00°
Last column: nearest neighbours and their distance in Å.
Space group Cmmm (No. 65)
Symmetry-distinct sites (fractional):
1 Cu 0.1689 0.0000 0.0000 (multiplicity 4)  1 Cu 2.48, 4 Pd 2.62
2 P 0.0000 0.2799 0.5000 (multiplicity 4)  7 Pd 2.32-2.41
3 Pd 0.0000 0.0000 0.5000 (multiplicity 2)  2 P 2.41
4 Pd 0.0000 0.5000 0.2439 (multiplicity 4)  2 P 2.37
5 Pd 0.2500 0.2500 0.2467 (multiplicity 8)  2 P 2.32

For the formation energy, the calculation gives -0.23 eV per atom. The density of states at the Fermi level comes out at 2.365 states/eV/f.u.

=====

> What is the formula in the fifth record?

Ba2LiTaAs

=====

> Which formula does entry 4 have?

LaSm2Tm9